No. 1
First-principles (PBE) data for a geometry-optimized PaMnSN structure, as listed in Alexandria.

The structure in CIF format:
```
data_PaMnSN
_symmetry_space_group_name_H-M 'R 3 m'
_symmetry_Int_Tables_number 160
_symmetry_space_group_name_Hall 'R 3 -2"'
_cell_length_a 3.6791
_cell_length_b 3.6791
_cell_length_c 15.7856
_cell_angle_alpha 90.00
_cell_angle_beta 90.00
_cell_angle_gamma 120.00
loop_
_atom_site_label
_atom_site_type_symbol
_atom_site_fract_x
_atom_site_fract_y
_atom_site_fract_z
Pa1 Pa 0.0000 0.0000 0.0000
Mn1 Mn 0.0000 0.0000 0.5039
S1 S 0.0000 0.0000 0.2052
N1 N 0.0000 0.0000 0.3854
```

energy relative to the elements, uncorrected = -992 meV/atom
raw total energy = -105.26 eV per cell

---

No. 2
First-principles (PBE) data for a geometry-optimized PaMnS2N structure, as listed in Alexandria.

The structure in CIF format:
```
data_PaMnS2N
_symmetry_space_group_name_H-M 'P 4/n m m'
_symmetry_Int_Tables_number 129
_cell_length_a 3.7497
_cell_length_b 3.7497
_cell_length_c 12.4162
_cell_angle_alpha 90.00
_cell_angle_beta 90.00
_cell_angle_gamma 90.00
loop_
_symmetry_equiv_pos_as_xyz
'x,y,z'
'-x,-y,-z'
'-y+1/2,x,z'
'y+1/2,-x,-z'
'-x+1/2,-y+1/2,z'
'x+1/2,y+1/2,-z'
'y,-x+1/2,z'
'-y,x+1/2,-z'
'x+1/2,-y,-z'
'-x+1/2,y,z'
'-y,-x,-z'
'y,x,z'
'-x,y+1/2,-z'
'x,-y+1/2,z'
'y+1/2,x+1/2,-z'
'-y+1/2,-x+1/2,z'
loop_
_atom_site_label
_atom_site_type_symbol
_atom_site_fract_x
_atom_site_fract_y
_atom_site_fract_z
Pa1 Pa 0.2500 0.2500 0.1028
Mn1 Mn 0.2500 0.2500 0.5977
S1 S 0.2500 0.2500 0.3972
S2 S 0.2500 0.2500 0.7951
N1 N 0.2500 0.7500 0.0000
```

energy relative to the elements, uncorrected = -1293 meV/atom
raw total energy = -83.42 eV per cell

---

No. 3
First-principles (PBE) data for a geometry-optimized Pa2MnSbN6 structure, as listed in Alexandria.

The structure in CIF format:
```
data_Pa2MnSbN6
_symmetry_space_group_name_H-M 'R 3'
_symmetry_Int_Tables_number 146
_symmetry_space_group_name_Hall 'R 3'
_cell_length_a 5.6209
_cell_length_b 5.6209
_cell_length_c 14.5412
_cell_angle_alpha 90.00
_cell_angle_beta 90.00
_cell_angle_gamma 120.00
loop_
_atom_site_label
_atom_site_type_symbol
_atom_site_fract_x
_atom_site_fract_y
_atom_site_fract_z
Pa1 Pa 0.0000 0.0000 0.0000
Pa2 Pa 0.0000 0.0000 0.4903
Mn1 Mn 0.0000 0.0000 0.7048
Sb1 Sb 0.0000 0.0000 0.2160
N1 N 0.0012 0.6215 0.4350
N2 N 0.0621 0.3698 0.2744
```

energy relative to the elements, uncorrected = -650 meV/atom
raw total energy = -266.21 eV per cell

---

No. 4
First-principles (PBE) data for a geometry-optimized SmPa3Mn4N12 structure, as listed in Alexandria.

The structure in CIF format:
```
data_SmPa3Mn4N12
_symmetry_space_group_name_H-M 'R 3 2'
_symmetry_Int_Tables_number 155
_symmetry_space_group_name_Hall 'R 3 2"'
_cell_length_a 11.1651
_cell_length_b 11.1651
_cell_length_c 8.5361
_cell_angle_alpha 90.00
_cell_angle_beta 90.00
_cell_angle_gamma 120.00
loop_
_atom_site_label
_atom_site_type_symbol
_atom_site_fract_x
_atom_site_fract_y
_atom_site_fract_z
Sm1 Sm 0.0000 0.0000 0.0000
Pa1 Pa 0.0000 0.5457 0.0000
Mn1 Mn 0.0000 0.0000 0.5000
Mn2 Mn 0.0000 0.4535 0.5000
N1 N 0.0000 0.6100 0.5000
N2 N 0.0000 0.8442 0.5000
N3 N 0.0286 0.2016 0.1735
```

energy relative to the elements, uncorrected = -582 meV/atom
raw total energy = -544.30 eV per cell

---

No. 5
First-principles (PBE) data for a geometry-optimized Sm2PaMn2N6 structure, as listed in Alexandria.

The structure in CIF format:
```
data_Sm2PaMn2N6
_symmetry_space_group_name_H-M 'R -3 m'
_symmetry_Int_Tables_number 166
_symmetry_space_group_name_Hall '-R 3 2"'
_cell_length_a 5.6162
_cell_length_b 5.6162
_cell_length_c 17.4139
_cell_angle_alpha 90.00
_cell_angle_beta 90.00
_cell_angle_gamma 120.00
loop_
_atom_site_label
_atom_site_type_symbol
_atom_site_fract_x
_atom_site_fract_y
_atom_site_fract_z
Sm1 Sm 0.0000 0.0000 0.2080
Pa1 Pa 0.0000 0.0000 0.0000
Mn1 Mn 0.0000 0.0000 0.4037
N1 N 0.0093 0.5047 0.7612
```

energy relative to the elements, uncorrected = -810 meV/atom
raw total energy = -288.40 eV per cell

---

No. 6
First-principles (PBE) data for a geometry-optimized SmPaMnN4 structure, as listed in Alexandria.

The structure in CIF format:
```
data_SmPaMnN4
_symmetry_space_group_name_H-M 'I 4 m m'
_symmetry_Int_Tables_number 107
_symmetry_space_group_name_Hall 'I 4 -2'
_cell_length_a 3.7012
_cell_length_b 3.7012
_cell_length_c 12.3292
_cell_angle_alpha 90.00
_cell_angle_beta 90.00
_cell_angle_gamma 90.00
loop_
_atom_site_label
_atom_site_type_symbol
_atom_site_fract_x
_atom_site_fract_y
_atom_site_fract_z
Sm1 Sm 0.0000 0.0000 0.0000
Pa1 Pa 0.0000 0.0000 0.7157
Mn1 Mn 0.0000 0.0000 0.3501
N1 N 0.0000 0.0000 0.1872
N2 N 0.0000 0.0000 0.5404
N3 N 0.0000 0.5000 0.3485
```

energy relative to the elements, uncorrected = -1101 meV/atom
raw total energy = -128.78 eV per cell

---

No. 7
First-principles (PBE) data for a geometry-optimized SmPa2MnN5 structure, as listed in Alexandria.

The structure in CIF format:
```
data_SmPa2MnN5
_symmetry_space_group_name_H-M 'P 4/m b m'
_symmetry_Int_Tables_number 127
_symmetry_space_group_name_Hall '-P 4 2ab'
_cell_length_a 6.5571
_cell_length_b 6.5571
_cell_length_c 5.6147
_cell_angle_alpha 90.00
_cell_angle_beta 90.00
_cell_angle_gamma 90.00
loop_
_atom_site_label
_atom_site_type_symbol
_atom_site_fract_x
_atom_site_fract_y
_atom_site_fract_z
Sm1 Sm 0.0000 0.0000 0.0000
Pa1 Pa 0.1721 0.3279 0.5000
Mn1 Mn 0.0000 0.5000 0.0000
N1 N 0.0000 0.0000 0.5000
N2 N 0.1480 0.6480 0.2393
```

energy relative to the elements, uncorrected = -1292 meV/atom
raw total energy = -172.27 eV per cell

---

No. 8
First-principles (PBE) data for a geometry-optimized PaMnSnN4 structure, as listed in Alexandria.

The structure in CIF format:
```
data_PaMnSnN4
_symmetry_space_group_name_H-M 'P 1 21/m 1'
_symmetry_Int_Tables_number 11
_symmetry_space_group_name_Hall '-P 2yb'
_cell_length_a 6.0494
_cell_length_b 5.6278
_cell_length_c 6.8476
_cell_angle_alpha 90.00
_cell_angle_beta 103.46
_cell_angle_gamma 90.00
loop_
_atom_site_label
_atom_site_type_symbol
_atom_site_fract_x
_atom_site_fract_y
_atom_site_fract_z
Pa1 Pa 0.2029 0.2500 0.1089
Mn1 Mn 0.2884 0.7500 0.8671
Sn1 Sn 0.2407 0.2500 0.6387
N1 N 0.0829 0.5046 0.8310
N2 N 0.4515 0.7500 0.6947
N3 N 0.4759 0.7500 0.0928
```

energy relative to the elements, uncorrected = -382 meV/atom
raw total energy = -117.29 eV per cell

---

No. 9
First-principles (PBE) data for a geometry-optimized Pa2MnSnN5 structure, as listed in Alexandria.

The structure in CIF format:
```
data_Pa2MnSnN5
_symmetry_space_group_name_H-M 'C m c 21'
_symmetry_Int_Tables_number 36
_symmetry_space_group_name_Hall 'C 2c -2'
_cell_length_a 3.3112
_cell_length_b 13.2444
_cell_length_c 10.2607
_cell_angle_alpha 90.00
_cell_angle_beta 90.00
_cell_angle_gamma 90.00
loop_
_atom_site_label
_atom_site_type_symbol
_atom_site_fract_x
_atom_site_fract_y
_atom_site_fract_z
Pa1 Pa 0.0000 0.0932 0.0000
Pa2 Pa 0.0000 0.1475 0.6261
Mn1 Mn 0.0000 0.4793 0.7734
Sn1 Sn 0.0000 0.2064 0.3323
N1 N 0.0000 0.0492 0.3784
N2 N 0.0000 0.2742 0.9937
N3 N 0.0000 0.3311 0.6973
N4 N 0.0000 0.3730 0.3260
N5 N 0.0000 0.4799 0.0940
```

energy relative to the elements, uncorrected = -710 meV/atom
raw total energy = -320.72 eV per cell

---

No. 10
First-principles (PBE) data for a geometry-optimized SrPa3Mn4N12 structure, as listed in Alexandria.

The structure in CIF format:
```
data_SrPa3Mn4N12
_symmetry_space_group_name_H-M 'R 3 2'
_symmetry_Int_Tables_number 155
_symmetry_space_group_name_Hall 'R 3 2"'
_cell_length_a 11.2351
_cell_length_b 11.2351
_cell_length_c 8.7337
_cell_angle_alpha 90.00
_cell_angle_beta 90.00
_cell_angle_gamma 120.00
loop_
_atom_site_label
_atom_site_type_symbol
_atom_site_fract_x
_atom_site_fract_y
_atom_site_fract_z
Sr1 Sr 0.0000 0.0000 0.0000
Pa1 Pa 0.0000 0.5516 0.0000
Mn1 Mn 0.0000 0.0000 0.5000
Mn2 Mn 0.0000 0.4479 0.5000
N1 N 0.0000 0.6054 0.5000
N2 N 0.0000 0.8441 0.5000
N3 N 0.0321 0.2128 0.1815
```

energy relative to the elements, uncorrected = -543 meV/atom
raw total energy = -532.81 eV per cell

---

No. 11
First-principles (PBE) data for a geometry-optimized SrPaMnN4 structure, as listed in Alexandria.

The structure in CIF format:
```
data_SrPaMnN4
_symmetry_space_group_name_H-M 'P 1 21/m 1'
_symmetry_Int_Tables_number 11
_symmetry_space_group_name_Hall '-P 2yb'
_cell_length_a 5.7083
_cell_length_b 5.4228
_cell_length_c 7.1622
_cell_angle_alpha 90.00
_cell_angle_beta 107.18
_cell_angle_gamma 90.00
loop_
_atom_site_label
_atom_site_type_symbol
_atom_site_fract_x
_atom_site_fract_y
_atom_site_fract_z
Sr1 Sr 0.1971 0.2500 0.4207
Pa1 Pa 0.2636 0.2500 0.9431
Mn1 Mn 0.2763 0.7500 0.1890
N1 N 0.0584 0.7500 0.3264
N2 N 0.0774 0.7500 0.9470
N3 N 0.4786 0.5044 0.2052
```

energy relative to the elements, uncorrected = -906 meV/atom
raw total energy = -119.98 eV per cell

---

No. 12
First-principles (PBE) data for a geometry-optimized SrPa2MnN4 structure, as listed in Alexandria.

The structure in CIF format:
```
data_SrPa2MnN4
_symmetry_space_group_name_H-M 'C m c m'
_symmetry_Int_Tables_number 63
_symmetry_space_group_name_Hall '-C 2c 2'
_cell_length_a 3.5474
_cell_length_b 11.8479
_cell_length_c 11.6372
_cell_angle_alpha 90.00
_cell_angle_beta 90.00
_cell_angle_gamma 90.00
loop_
_atom_site_label
_atom_site_type_symbol
_atom_site_fract_x
_atom_site_fract_y
_atom_site_fract_z
Sr1 Sr 0.0000 0.0964 0.2500
Pa1 Pa 0.0000 0.3680 0.0558
Mn1 Mn 0.0000 0.1689 0.7500
N1 N 0.0000 0.0000 0.0000
N2 N 0.0000 0.2605 0.6072
N3 N 0.0000 0.4224 0.2500
```

energy relative to the elements, uncorrected = -1219 meV/atom
raw total energy = -291.58 eV per cell

---

> Number 12 is which compound?

SrPa2MnN4

---

> Which of these has the highest energy relative to the elements, uncorrected?

PaMnSnN4

---

> Among the records above, which one has the highest energy relative to the elements, uncorrected?

PaMnSnN4